1.
Here is a geometry-optimized Mn2FeP structure from Alexandria via LeMat-Bulk. Energies are from PBE.

The formation energy comes out at 0.27 kcal/mol of atoms. The crystal system is orthorhombic. Its density of states at the Fermi level is 6.3 states/eV/cell.

It has space group Cmmm (No. 65), with a = 3.215 Å, b = 4.156 Å, c = 7.031 Å, α = 90.00°, β = 90.00° and γ = 90.00°. The distinct sites, in fractional coordinates, are Mn at (0.000, 0.000, 0.227), Fe at (0.000, 0.500, 0.500) and P at (0.000, 0.500, 0.000).

2.
Here is a geometry-optimized MnFeP3 structure from Alexandria via LeMat-Bulk. Energies are from PBE.

The formation energy comes out at 22.59 kcal/mol of atoms. The crystal system is cubic. The energy above the most stable polymorph in this dataset is 0.034 eV/atom. Its density of states at the Fermi level is 9.0 states/eV/cell.

It has space group Pm-3m (No. 221), with a = 4.275 Å, b = 4.275 Å, c = 4.275 Å, α = 90.00°, β = 90.00° and γ = 90.00°. The distinct sites, in fractional coordinates, are Mn at (0.000, 0.000, 0.000), Fe at (0.500, 0.500, 0.500) and P at (0.000, 0.500, 0.500).

3.
Here is a geometry-optimized MnFe2P structure from Alexandria via LeMat-Bulk. Energies are from PBE.

The formation energy comes out at -3.97 kcal/mol of atoms. The crystal system is orthorhombic. Its density of states at the Fermi level is 7.0 states/eV/cell.

It has space group Imm2 (No. 44), with a = 2.671 Å, b = 3.957 Å, c = 8.087 Å, α = 90.00°, β = 90.00° and γ = 90.00°. The distinct sites, in fractional coordinates, are Mn at (0.000, 0.000, 0.000), Fe at (0.000, 0.000, 0.443), Fe at (0.000, 0.500, 0.223) and P at (0.000, 0.500, 0.727).

4.
Here is a geometry-optimized Mn2FeP structure from Alexandria via LeMat-Bulk. Energies are from PBE.

The formation energy comes out at -4.56 kcal/mol of atoms. The crystal system is tetragonal. Its density of states at the Fermi level is 8.6 states/eV/cell.

It has space group I4/mmm (No. 139), with a = 3.439 Å, b = 3.439 Å, c = 7.283 Å, α = 90.00°, β = 90.00° and γ = 90.00°. The distinct sites, in fractional coordinates, are Mn at (0.000, 0.500, 0.250), Fe at (0.000, 0.000, 0.000) and P at (0.000, 0.000, 0.500).

5.
Here is a geometry-optimized MnFe2P structure from Alexandria via LeMat-Bulk. Energies are from PBE.

The formation energy comes out at 14.33 kcal/mol of atoms. The crystal system is tetragonal. Its density of states at the Fermi level is 15.4 states/eV/cell.

It has space group I-42d (No. 122), with a = 4.919 Å, b = 4.919 Å, c = 9.945 Å, α = 90.00°, β = 90.00° and γ = 90.00°. The distinct sites, in fractional coordinates, are Mn at (0.000, 0.000, 0.000), Fe at (0.246, 0.250, 0.125) and P at (0.000, 0.000, 0.500).

6.
Here is a geometry-optimized MnFeP structure from Alexandria via LeMat-Bulk. Energies are from PBE.

The formation energy comes out at -7.64 kcal/mol of atoms. The crystal system is cubic. Its density of states at the Fermi level is 14.7 states/eV/cell.

It has space group F-43m (No. 216), with a = 5.293 Å, b = 5.293 Å, c = 5.293 Å, α = 90.00°, β = 90.00° and γ = 90.00°. The distinct sites, in fractional coordinates, are Mn at (0.000, 0.000, 0.000), Fe at (0.000, 0.000, 0.500) and P at (0.250, 0.250, 0.750).

7.
Here is a geometry-optimized Mn2FeP structure from Alexandria via LeMat-Bulk. Energies are from PBE.

The formation energy comes out at -3.54 kcal/mol of atoms. The crystal system is tetragonal. Its density of states at the Fermi level is 3.6 states/eV/cell.

It has space group P4mm (No. 99), with a = 2.668 Å, b = 2.668 Å, c = 6.054 Å, α = 90.00°, β = 90.00° and γ = 90.00°. The distinct sites, in fractional coordinates, are Mn at (0.000, 0.000, 0.000), Mn at (0.500, 0.500, 0.273), Fe at (0.500, 0.500, 0.711) and P at (0.000, 0.000, 0.502).

8.
Here is a geometry-optimized MnFe2P structure from Alexandria via LeMat-Bulk. Energies are from PBE.

The formation energy comes out at -1.79 kcal/mol of atoms. The crystal system is monoclinic. Its density of states at the Fermi level is 7.6 states/eV/cell.

It has space group Cm (No. 8), with a = 7.667 Å, b = 2.564 Å, c = 4.499 Å, α = 90.00°, β = 91.96° and γ = 90.00°. The distinct sites, in fractional coordinates, are Mn at (0.000, 0.000, 0.000), Fe at (0.230, 0.500, 0.776), Fe at (0.453, 0.000, 0.484) and P at (0.229, 0.500, 0.277).